[1]
Computed, not measured: a relaxed structure of Ta2AsO at the GGA-PBE level of DFT.

Calculated values
* formation energy (no corrections): -1.49 eV per formula unit
* E above lowest polymorph: 124 meV/atom
* space group: Fm-3m, No. 225
* total magnetization: 0.00 μB/f.u.

```
Ta2AsO
1.0
0.0000 3.0633 3.0633
3.0633 0.0000 3.0633
3.0633 3.0633 0.0000
Ta As O
2 1 1
direct
0.2500 0.2500 0.2500
0.7500 0.7500 0.7500
0.0000 0.0000 0.0000
0.5000 0.5000 0.5000
```

***

[2]
Computed, not measured: a relaxed structure of K2InCl at the GGA-PBE level of DFT.

Calculated values
* formation energy (no corrections): -2.09 eV per formula unit
* E above lowest polymorph: 360 meV/atom
* space group: I4/mmm, No. 139
* total magnetization: 0.33 μB/f.u.

```
K2InCl
1.0
-2.7073 2.7073 5.0940
2.7073 -2.7073 5.0940
2.7073 2.7073 -5.0940
K In Cl
2 1 1
direct
0.2500 0.7500 0.5000
0.7500 0.2500 0.5000
0.0000 0.0000 0.0000
0.5000 0.5000 0.0000
```

***

[3]
Computed, not measured: a relaxed structure of LiLa2YTl4 at the GGA-PBE level of DFT.

Calculated values
* energy of formation from the pure elements: -0.38 eV per atom
* space group: R-3m, No. 166
* total magnetization: 0.00 μB/f.u.

```
LiLa2YTl4
1.0
2.6967 1.5569 9.1076
-2.6967 1.5569 9.1076
0.0000 -3.1139 9.1076
Li La Y Tl
1 2 1 4
direct
0.0000 0.0000 0.0000
0.2555 0.2555 0.2555
0.7445 0.7445 0.7445
0.5000 0.5000 0.5000
0.1246 0.1246 0.1246
0.3743 0.3743 0.3743
0.6257 0.6257 0.6257
0.8754 0.8754 0.8754
```

***

[4]
Computed, not measured: a relaxed structure of Y4Zn2Ag at the GGA-PBE level of DFT.

Calculated values
* energy of formation from the pure elements: -0.19 eV per atom
* space group: R-3m, No. 166
* total magnetization: 0.00 μB/f.u.

```
Y4Zn2Ag
1.0
2.5269 1.4589 8.1510
-2.5269 1.4589 8.1510
0.0000 -2.9178 8.1510
Y Zn Ag
4 2 1
direct
0.1202 0.1202 0.1202
0.3715 0.3715 0.3715
0.6285 0.6285 0.6285
0.8798 0.8798 0.8798
0.2492 0.2492 0.2492
0.7508 0.7508 0.7508
0.5000 0.5000 0.5000
```

***

[5]
Computed, not measured: a relaxed structure of SrSiGeO5 at the GGA-PBE level of DFT.

Calculated values
* formation energy (no corrections): -19.64 eV per formula unit
* space group: C2/c, No. 15
* total magnetization: 0.00 μB/f.u.

```
SrSiGeO5
1.0
3.3593 -4.4721 0.0000
3.3593 4.4721 0.0000
-2.7193 0.0000 6.3321
Sr Si Ge O
2 2 2 10
direct
0.1621 0.8379 0.7500
0.8379 0.1621 0.2500
0.1912 0.8088 0.2500
0.8088 0.1912 0.7500
0.5000 0.5000 0.0000
0.5000 0.5000 0.5000
0.1105 0.2673 0.9110
0.2024 0.6051 0.3896
0.2673 0.1105 0.4110
0.3949 0.7976 0.1104
0.4332 0.5668 0.7500
0.5668 0.4332 0.2500
0.6051 0.2024 0.8896
0.7327 0.8895 0.5890
0.7976 0.3949 0.6104
0.8895 0.7327 0.0890
```

***

[6]
Computed, not measured: a relaxed structure of AcEuAlGa at the GGA-PBE level of DFT.

Calculated values
* energy of formation from the pure elements: -0.32 eV per atom
* space group: F-43m, No. 216
* total magnetization: 7.36 μB/f.u.

```
AcEuAlGa
1.0
0.0000 3.8735 3.8735
3.8735 0.0000 3.8735
3.8735 3.8735 0.0000
Ac Eu Al Ga
1 1 1 1
direct
0.0000 0.0000 0.0000
0.5000 0.5000 0.5000
0.2500 0.2500 0.2500
0.7500 0.7500 0.7500
```

***

> What is the total magnetization in the third record?

0.00 μB/f.u.

***

> Number 3 is which compound?

LiLa2YTl4